# 1
The following is a DFT calculation (PBE) of a relaxed structure of P2RuPb.

Summary:
energy of formation from the pure elements: 3.7 kJ/mol of atoms

a = 3.486 Å, b = 3.870 Å, c = 6.022 Å
α = 73.99°, β = 90.00°, γ = 90.00°
Positions (direct):
P 0.000 0.893 0.073
P 0.500 0.273 0.060
Pb 0.000 0.480 0.551
Ru 0.500 0.854 0.816


# 2
The following is a DFT calculation (PBE) of a relaxed structure of PRuPb3.

Summary:
offset from the most stable computed form: 0 meV/atom
energy of formation from the pure elements: 46.9 kJ/mol of atoms

a = 5.218 Å, b = 5.218 Å, c = 5.218 Å
α = 90.00°, β = 90.00°, γ = 90.00°
Site moments in Bohr magnetons follow the coordinates.
Positions (direct):
Pb 0.000 0.500 0.000  0.01
Pb 0.000 0.000 0.500  0.01
Pb 0.500 0.000 0.000  0.00
Ru 0.000 0.000 0.000  0.05
P 0.500 0.500 0.500  0.18


# 3
The following is a DFT calculation (PBE) of a relaxed structure of PRuPb2.

Summary:
energy of formation from the pure elements: 55.8 kJ/mol of atoms

a = 3.323 Å, b = 3.323 Å, c = 7.592 Å
α = 90.00°, β = 90.00°, γ = 90.00°
Positions (direct):
P 0.500 0.500 0.500
Ru 0.500 0.500 0.000
Pb 0.000 0.000 0.772
Pb 0.000 0.000 0.228